No. 1
The following is a DFT calculation (PBE-GGA) of TbPrMgCd after structural relaxation.

a = 3.825 Å, b = 3.825 Å, c = 7.709 Å
α = 90.00°, β = 90.00°, γ = 90.00°
Positions (direct):
Tb (0.000, 0.000, 0.000)
Pr (0.000, 0.000, 0.501)
Mg (0.500, 0.500, 0.239)
Cd (0.500, 0.500, 0.768)

## Properties
Formation enthalpy at 0 K   -20 kJ/mol of atoms
Crystal system   tetragonal
Excess energy over the best structure of this formula in the dataset   0.00 eV per formula unit
D(E_F)   4.9 states/eV/cell

=====

No. 2
The following is a DFT calculation (PBE-GGA) of Y2ScZnO after structural relaxation.

a = 4.743 Å, b = 4.743 Å, c = 4.402 Å
α = 90.00°, β = 90.00°, γ = 90.00°
Positions (direct):
Y (0.000, 0.500, 0.000)
Y (0.500, 0.000, 0.000)
Sc (0.000, 0.000, 0.500)
Zn (0.500, 0.500, 0.500)
O (0.000, 0.000, 0.000)

## Properties
Crystal system   tetragonal
Raw formation energy   -1.31 eV per atom
D(E_F)   3.1 states/eV/cell

=====

no.,M_tot (μB per cell)
1,0.00
2,0.00